No. 1
Here is a geometry-optimized Pr5GaBi2 structure from Alexandria via LeMat-Bulk. Energies are from GGA-PBE.

Summary:
Its energy above the most stable polymorph in this dataset is 0.1889 eV/atom.

```
data_Pr5GaBi2
_cell_length_a 8.6302
_cell_length_b 10.6478
_cell_length_c 6.8483
_cell_angle_alpha 90.00
_cell_angle_beta 128.95
_cell_angle_gamma 90.00
_symmetry_space_group_name_H-M 'C 1 m 1'
_symmetry_Int_Tables_number 8
loop_
_symmetry_equiv_pos_as_xyz
'x,y,z'
'x,-y,z'
'x+1/2,y+1/2,z'
'x+1/2,-y+1/2,z'
loop_
_atom_site_label
_atom_site_type_symbol
_atom_site_fract_x
_atom_site_fract_y
_atom_site_fract_z
Pr1 Pr 0.0000 0.0000 0.0000
Pr2 Pr 0.0315 0.5000 0.0603
Pr3 Pr 0.2661 0.2650 0.5308
Pr4 Pr 0.4532 0.0000 0.5277
Ga1 Ga 0.0671 0.0000 0.5303
Bi1 Bi 0.2636 0.2494 0.0310
```

---

No. 2
Here is a geometry-optimized ErAl3CuNi structure from Alexandria via LeMat-Bulk. Energies are from GGA-PBE.

Summary:
The value obtained for the total energy is -4.601 eV per atom.

```
data_ErAl3CuNi
_cell_length_a 6.0528
_cell_length_b 12.0327
_cell_length_c 5.6209
_cell_angle_alpha 90.00
_cell_angle_beta 90.00
_cell_angle_gamma 90.00
_symmetry_space_group_name_H-M 'C m c m'
_symmetry_Int_Tables_number 63
_symmetry_space_group_name_Hall '-C 2c 2'
loop_
_atom_site_label
_atom_site_type_symbol
_atom_site_fract_x
_atom_site_fract_y
_atom_site_fract_z
Er1 Er 0.0000 0.2200 0.2500
Al1 Al 0.0000 0.3592 0.7500
Al2 Al 0.2124 0.0000 0.0000
Cu1 Cu 0.0000 0.1484 0.7500
Ni1 Ni 0.0000 0.4313 0.2500
```

---

No. 3
Here is a geometry-optimized PrNi4Ge12 structure from Alexandria via LeMat-Bulk. Energies are from GGA-PBE.

Summary:
The value obtained for the total energy is -5.117 eV per atom.

```
data_PrNi4Ge12
_cell_length_a 8.4327
_cell_length_b 8.4327
_cell_length_c 8.4327
_cell_angle_alpha 90.00
_cell_angle_beta 90.00
_cell_angle_gamma 90.00
_symmetry_space_group_name_H-M 'I m -3'
_symmetry_Int_Tables_number 204
_symmetry_space_group_name_Hall '-I 2 2 3'
loop_
_atom_site_label
_atom_site_type_symbol
_atom_site_fract_x
_atom_site_fract_y
_atom_site_fract_z
Pr1 Pr 0.0000 0.0000 0.0000
Ni1 Ni 0.2500 0.2500 0.2500
Ge1 Ge 0.0000 0.3482 0.1628
```

---

No. 4
Here is a geometry-optimized Nb4Tl4O13 structure from Alexandria via LeMat-Bulk. Energies are from GGA-PBE.

Summary:
The uncorrected formation energy comes out at -1.9294 eV/atom.

```
data_Nb4Tl4O13
_cell_length_a 10.7926
_cell_length_b 10.7926
_cell_length_c 10.7926
_cell_angle_alpha 90.00
_cell_angle_beta 90.00
_cell_angle_gamma 90.00
_symmetry_space_group_name_H-M 'F -4 3 m'
_symmetry_Int_Tables_number 216
_symmetry_space_group_name_Hall 'F -4 2 3'
loop_
_atom_site_label
_atom_site_type_symbol
_atom_site_fract_x
_atom_site_fract_y
_atom_site_fract_z
Nb1 Nb 0.1248 0.1248 0.1248
Tl1 Tl 0.1272 0.1272 0.6272
O1 O 0.0000 0.0000 0.1861
O2 O 0.0000 0.0000 0.5000
O3 O 0.0641 0.2500 0.2500
```

---

No. 5
Here is a geometry-optimized RePBr structure from Alexandria via LeMat-Bulk. Energies are from GGA-PBE.

Summary:
Its energy above the most stable polymorph in this dataset is 1.7991 eV/atom. The uncorrected formation energy comes out at 2.0130 eV/atom.

```
data_RePBr
_cell_length_a 6.1345
_cell_length_b 6.1345
_cell_length_c 6.1345
_cell_angle_alpha 90.00
_cell_angle_beta 90.00
_cell_angle_gamma 90.00
_symmetry_space_group_name_H-M 'F -4 3 m'
_symmetry_Int_Tables_number 216
_symmetry_space_group_name_Hall 'F -4 2 3'
loop_
_atom_site_label
_atom_site_type_symbol
_atom_site_fract_x
_atom_site_fract_y
_atom_site_fract_z
Re1 Re 0.0000 0.0000 0.0000
P1 P 0.0000 0.0000 0.5000
Br1 Br 0.2500 0.2500 0.2500
```

---

No. 6
Here is a geometry-optimized Sc2VB2Ru5 structure from Alexandria via LeMat-Bulk. Energies are from GGA-PBE.

Summary:
The value obtained for the total energy is -8.725 eV per atom.

```
data_Sc2VB2Ru5
_cell_length_a 9.3685
_cell_length_b 9.3685
_cell_length_c 3.0198
_cell_angle_alpha 90.00
_cell_angle_beta 90.00
_cell_angle_gamma 90.00
_symmetry_space_group_name_H-M 'P 4/m b m'
_symmetry_Int_Tables_number 127
_symmetry_space_group_name_Hall '-P 4 2ab'
loop_
_atom_site_label
_atom_site_type_symbol
_atom_site_fract_x
_atom_site_fract_y
_atom_site_fract_z
Sc1 Sc 0.1745 0.3255 0.0000
V1 V 0.0000 0.0000 0.0000
B1 B 0.1237 0.6237 0.0000
Ru1 Ru 0.0000 0.5000 0.5000
Ru2 Ru 0.0708 0.7882 0.5000
```

---

No. 7
Here is a geometry-optimized TlCu2GeAs structure from Alexandria via LeMat-Bulk. Energies are from GGA-PBE.

Summary:
The value obtained for the total energy is -2.891 eV per atom.

```
data_TlCu2GeAs
_cell_length_a 4.8407
_cell_length_b 4.8407
_cell_length_c 5.4357
_cell_angle_alpha 90.00
_cell_angle_beta 90.00
_cell_angle_gamma 90.00
_symmetry_space_group_name_H-M 'P 4/m m m'
_symmetry_Int_Tables_number 123
_symmetry_space_group_name_Hall '-P 4 2'
loop_
_atom_site_label
_atom_site_type_symbol
_atom_site_fract_x
_atom_site_fract_y
_atom_site_fract_z
Tl1 Tl 0.0000 0.0000 0.0000
Cu1 Cu 0.0000 0.5000 0.0000
Ge1 Ge 0.5000 0.5000 0.5000
As1 As 0.0000 0.0000 0.5000
```

---

No. 8
Here is a geometry-optimized NaLa2BSb structure from Alexandria via LeMat-Bulk. Energies are from GGA-PBE.

Summary:
The uncorrected formation energy comes out at -0.2647 eV/atom.

```
data_NaLa2BSb
_cell_length_a 5.2467
_cell_length_b 5.2467
_cell_length_c 4.9664
_cell_angle_alpha 90.00
_cell_angle_beta 90.00
_cell_angle_gamma 90.00
_symmetry_space_group_name_H-M 'P 4/m m m'
_symmetry_Int_Tables_number 123
_symmetry_space_group_name_Hall '-P 4 2'
loop_
_atom_site_label
_atom_site_type_symbol
_atom_site_fract_x
_atom_site_fract_y
_atom_site_fract_z
Na1 Na 0.0000 0.0000 0.0000
La1 La 0.0000 0.5000 0.5000
B1 B 0.0000 0.0000 0.5000
Sb1 Sb 0.5000 0.5000 0.0000
```

---

No. 9
Here is a geometry-optimized CaTlCr structure from Alexandria via LeMat-Bulk. Energies are from GGA-PBE.

Summary:
The value obtained for the total energy is -4.222 eV per atom.

```
data_CaTlCr
_cell_length_a 6.9220
_cell_length_b 6.9220
_cell_length_c 6.9220
_cell_angle_alpha 90.00
_cell_angle_beta 90.00
_cell_angle_gamma 90.00
_symmetry_space_group_name_H-M 'F -4 3 m'
_symmetry_Int_Tables_number 216
_symmetry_space_group_name_Hall 'F -4 2 3'
loop_
_atom_site_label
_atom_site_type_symbol
_atom_site_fract_x
_atom_site_fract_y
_atom_site_fract_z
Ca1 Ca 0.0000 0.0000 0.0000
Tl1 Tl 0.0000 0.0000 0.5000
Cr1 Cr 0.2500 0.2500 0.7500
```

---

No. 10
Here is a geometry-optimized Tb3PmBi2 structure from Alexandria via LeMat-Bulk. Energies are from GGA-PBE.

Summary:
Its energy above the most stable polymorph in this dataset is 0.0000 eV/atom.

```
data_Tb3PmBi2
_cell_length_a 4.5852
_cell_length_b 4.5852
_cell_length_c 8.7406
_cell_angle_alpha 90.00
_cell_angle_beta 90.00
_cell_angle_gamma 90.00
_symmetry_space_group_name_H-M 'P -4 m 2'
_symmetry_Int_Tables_number 115
loop_
_symmetry_equiv_pos_as_xyz
'x,y,z'
'y,-x,-z'
'-x,-y,z'
'-y,x,-z'
'-x,y,z'
'-y,-x,-z'
'x,-y,z'
'y,x,-z'
loop_
_atom_site_label
_atom_site_type_symbol
_atom_site_fract_x
_atom_site_fract_y
_atom_site_fract_z
Tb1 Tb 0.0000 0.0000 0.0000
Tb2 Tb 0.0000 0.5000 0.6517
Pm1 Pm 0.5000 0.5000 0.0000
Bi1 Bi 0.0000 0.5000 0.2858
```

---

No. 11
Here is a geometry-optimized Li3Pa2MoN6 structure from Alexandria via LeMat-Bulk. Energies are from GGA-PBE.

Summary:
The uncorrected formation energy comes out at -0.9732 eV/atom.

```
data_Li3Pa2MoN6
_cell_length_a 5.7802
_cell_length_b 10.2522
_cell_length_c 5.3306
_cell_angle_alpha 90.00
_cell_angle_beta 108.26
_cell_angle_gamma 90.00
_symmetry_space_group_name_H-M 'C 1 2/m 1'
_symmetry_Int_Tables_number 12
loop_
_symmetry_equiv_pos_as_xyz
'x,y,z'
'-x,-y,-z'
'-x,y,-z'
'x,-y,z'
'x+1/2,y+1/2,z'
'-x+1/2,-y+1/2,-z'
'-x+1/2,y+1/2,-z'
'x+1/2,-y+1/2,z'
loop_
_atom_site_label
_atom_site_type_symbol
_atom_site_fract_x
_atom_site_fract_y
_atom_site_fract_z
Li1 Li 0.0000 0.0000 0.0000
Li2 Li 0.0000 0.3732 0.0000
Pa1 Pa 0.0000 0.1677 0.5000
Mo1 Mo 0.0000 0.5000 0.5000
N1 N 0.2174 0.3470 0.7105
N2 N 0.2433 0.0000 0.7163
```

---

No. 12
Here is a geometry-optimized Li2BeCl structure from Alexandria via LeMat-Bulk. Energies are from GGA-PBE.

Summary:
Its energy above the most stable polymorph in this dataset is 0.1538 eV/atom. The uncorrected formation energy comes out at -0.2144 eV/atom.

```
data_Li2BeCl
_cell_length_a 3.3983
_cell_length_b 6.2815
_cell_length_c 3.5173
_cell_angle_alpha 90.00
_cell_angle_beta 90.02
_cell_angle_gamma 90.00
_symmetry_space_group_name_H-M 'P 1 m 1'
_symmetry_Int_Tables_number 6
loop_
_symmetry_equiv_pos_as_xyz
'x,y,z'
'x,-y,z'
loop_
_atom_site_label
_atom_site_type_symbol
_atom_site_fract_x
_atom_site_fract_y
_atom_site_fract_z
Li1 Li 0.0000 0.0000 0.0000
Li2 Li 0.4809 0.5000 0.0679
Be1 Be 0.9804 0.5000 0.5656
Cl1 Cl 0.5010 0.0000 0.4976
```